FeMoF2 after structural relaxation, computed with PBE+U.

Summary:
DFT total energy in eV/atom: -4.205
Energy above the lowest structure with this stoichiometry in eV/f.u.: 3.09
Crystal system: cubic
Total moment in μB/f.u.: 2.757

Unit cell a=4.187 b=4.187 c=4.187 alpha=60.00 beta=60.00 gamma=60.00
Site moments in Bohr magnetons follow the coordinates.
Element x y z (fractional)
F1 0.250 0.250 0.250  0.03
F2 0.750 0.750 0.750  0.03
Mo1 0.500 0.500 0.500  -0.39
Fe1 0.000 0.000 0.000  3.19